Here is crystalline NaSmHo2S4 at its relaxed geometry from the Alexandria database. Energies are from PBE-GGA.

Cell and atoms, written as POSCAR:
```
NaSmHo2S4
1.0
6.8496 0.0000 0.0000
0.0000 3.9201 0.0000
-2.2403 0.0000 6.5006
Na Sm Ho S
1 1 2 4
Direct
0.0000 0.0000 0.0000 Na
0.5000 0.5000 0.0000 Sm
0.0000 0.5000 0.5000 Ho
0.5000 0.0000 0.5000 Ho
0.2447 0.0000 0.7406 S
0.2545 0.5000 0.2619 S
0.7455 0.5000 0.7381 S
0.7553 0.0000 0.2594 S
```

Values from the calculation:
D(E_F): 0.319 states/eV/atom
raw formation energy: -15.37 eV per formula unit
final energy: -5.88 eV per atom
space-group type: P2/m

Here is crystalline AcZn5Au3 at its relaxed geometry from the Alexandria database. Energies are from PBE-GGA.

Cell and atoms, written as POSCAR:
```
AcZn5Au3
1.0
2.1193 -6.7136 0.0000
2.1193 6.7136 0.0000
0.0000 0.0000 12.7541
Ac Zn Au
2 10 6
Direct
0.1729 0.8271 0.7500 Ac
0.8271 0.1729 0.2500 Ac
0.0000 0.0000 0.0000 Zn
0.0000 0.0000 0.5000 Zn
0.1928 0.8072 0.0496 Zn
0.1928 0.8072 0.4504 Zn
0.4385 0.5615 0.6477 Zn
0.4385 0.5615 0.8523 Zn
0.5615 0.4385 0.1477 Zn
0.5615 0.4385 0.3523 Zn
0.8072 0.1928 0.5496 Zn
0.8072 0.1928 0.9504 Zn
0.1341 0.8659 0.2500 Au
0.3851 0.6149 0.0603 Au
0.3851 0.6149 0.4397 Au
0.6149 0.3851 0.5603 Au
0.6149 0.3851 0.9397 Au
0.8659 0.1341 0.7500 Au
```

Values from the calculation:
D(E_F): 0.452 states/eV/atom
final energy: -2.64 eV per atom
formation enthalpy at 0 K: -8.8 kcal/mol of atoms
space-group type: Cmcm

Here is crystalline Li2MnRu at its relaxed geometry from the Alexandria database. Energies are from PBE-GGA.

Cell and atoms, written as POSCAR:
```
Li2MnRu
1.0
2.5425 -4.6074 0.0000
2.5425 4.6074 0.0000
-1.1388 0.0000 2.3449
Li Mn Ru
2 1 1
Direct
0.0000 0.5000 0.0000 Li
0.5000 0.0000 0.0000 Li
0.0000 0.0000 0.5000 Mn
0.5000 0.5000 0.5000 Ru
```

Values from the calculation:
D(E_F): 0.688 states/eV/atom
final energy: -5.38 eV per atom
polymorph energy (0 for the lowest one): 6 meV per atom
formation enthalpy at 0 K: 4.3 kcal/mol of atoms
space-group type: C2/m